An optimized crystal structure of Tl2HgF8. Source: Alexandria, functional PBE.

Values from the calculation:
Offset from the most stable computed form, meV/atom: 112
E_tot, eV/atom: -3.395
ΔE_f (raw), eV per atom: -1.576

a = 10.717 Å, b = 5.161 Å, c = 7.852 Å
α = 90.00°, β = 91.36°, γ = 90.00°
Space group C2/m (No. 12)
Unique sites:
Tl: 0.143 0.000 0.386 (multiplicity 4)
Hg: 0.000 0.000 0.000 (multiplicity 2)
F: 0.070 0.000 0.647 (multiplicity 4)
F: 0.123 0.253 0.166 (multiplicity 8)
F: 0.176 0.500 0.496 (multiplicity 4)



An optimized crystal structure of Tl2HgF4. Source: Alexandria, functional PBE.

Values from the calculation:
Offset from the most stable computed form, meV/atom: 0
E_tot, eV/atom: -3.414
ΔE_f (raw), eV per atom: -1.625

a = 8.255 Å, b = 10.804 Å, c = 3.805 Å
α = 90.00°, β = 90.00°, γ = 90.00°
Space group Cmmm (No. 65)
Unique sites:
Tl: 0.250 0.250 0.000 (multiplicity 4)
Hg: 0.000 0.000 0.500 (multiplicity 2)
F: 0.000 0.212 0.500 (multiplicity 4)
F: 0.181 0.000 0.000 (multiplicity 4)



An optimized crystal structure of TlHgF. Source: Alexandria, functional PBE.

Values from the calculation:
Offset from the most stable computed form, meV/atom: 63
E_tot, eV/atom: -2.596
ΔE_f (raw), eV per atom: -1.083

a = 4.0178 Å, b = 4.0178 Å, c = 6.4708 Å
α = 90.00°, β = 90.00°, γ = 120.00°
Space group P3m1 (No. 156)
Unique sites:
Tl: 0.0000 0.0000 0.0000 (multiplicity 1)
Hg: 0.3333 0.6667 0.5541 (multiplicity 1)
F: 0.6667 0.3333 0.1624 (multiplicity 1)



An optimized crystal structure of Tl4Hg2F. Source: Alexandria, functional PBE.

Values from the calculation:
E_tot, eV/atom: -2.097
ΔE_f (raw), eV per atom: -0.392

a = 5.167 Å, b = 5.167 Å, c = 16.354 Å
α = 90.00°, β = 90.00°, γ = 90.00°
Space group I4/mmm (No. 139)
Unique sites:
Tl: 0.000 0.000 0.177 (multiplicity 4)
Tl: 0.000 0.500 0.000 (multiplicity 4)
Hg: 0.000 0.000 0.369 (multiplicity 4)
F: 0.000 0.000 0.000 (multiplicity 2)



An optimized crystal structure of Tl2HgF4. Source: Alexandria, functional PBE.

Values from the calculation:
Offset from the most stable computed form, meV/atom: 12
E_tot, eV/atom: -3.402
ΔE_f (raw), eV per atom: -1.613

a = 4.680 Å, b = 4.680 Å, c = 13.618 Å
α = 90.00°, β = 90.00°, γ = 90.00°
Space group I4/mmm (No. 139)
Unique sites:
Tl: 0.000 0.000 0.143 (multiplicity 4)
Hg: 0.000 0.000 0.500 (multiplicity 2)
F: 0.000 0.000 0.332 (multiplicity 4)
F: 0.000 0.500 0.000 (multiplicity 4)



An optimized crystal structure of Tl2Hg3F8. Source: Alexandria, functional PBE.

Values from the calculation:
E_tot, eV/atom: -3.131
ΔE_f (raw), eV per atom: -1.546

a = 12.475 Å, b = 7.411 Å, c = 6.080 Å
α = 90.00°, β = 104.75°, γ = 90.00°
Space group C2/m (No. 12)
Unique sites:
Tl: 0.214 0.000 0.136 (multiplicity 4)
Hg: 0.000 0.244 0.500 (multiplicity 4)
Hg: 0.000 0.500 0.000 (multiplicity 2)
F: 0.096 0.500 0.400 (multiplicity 4)
F: 0.103 0.278 0.880 (multiplicity 8)
F: 0.107 0.000 0.446 (multiplicity 4)



An optimized crystal structure of Tl3HgF6. Source: Alexandria, functional PBE.

Values from the calculation:
E_tot, eV/atom: -3.495
ΔE_f (raw), eV per atom: -1.633

a = 11.150 Å, b = 12.083 Å, c = 6.144 Å
α = 90.00°, β = 90.00°, γ = 90.00°
Space group Cmc2_1 (No. 36)
Unique sites:
Tl: 0.000 0.098 0.000 (multiplicity 4)
Tl: 0.207 0.388 0.925 (multiplicity 8)
Hg: 0.000 0.343 0.423 (multiplicity 4)
F: 0.000 0.267 0.735 (multiplicity 4)
F: 0.000 0.474 0.186 (multiplicity 4)
F: 0.125 0.025 0.714 (multiplicity 8)
F: 0.137 0.235 0.211 (multiplicity 8)



An optimized crystal structure of TlHgF. Source: Alexandria, functional PBE.

Values from the calculation:
Offset from the most stable computed form, meV/atom: 33
E_tot, eV/atom: -2.626
ΔE_f (raw), eV per atom: -1.113

a = 11.545 Å, b = 3.874 Å, c = 9.104 Å
α = 90.00°, β = 120.63°, γ = 90.00°
Space group C2/m (No. 12)
Unique sites:
Tl: 0.080 0.000 0.354 (multiplicity 4)
Hg: 0.165 0.500 0.061 (multiplicity 4)
F: 0.176 0.500 0.557 (multiplicity 4)



An optimized crystal structure of TlHgF. Source: Alexandria, functional PBE.

Values from the calculation:
Offset from the most stable computed form, meV/atom: 95
E_tot, eV/atom: -2.564
ΔE_f (raw), eV per atom: -1.051

a = 3.806 Å, b = 6.750 Å, c = 3.806 Å
α = 90.00°, β = 90.01°, γ = 90.00°
Space group Pm (No. 6)
Unique sites:
Tl: 0.000 0.000 0.000 (multiplicity 1)
Hg: 0.488 0.500 0.522 (multiplicity 1)
F: 0.502 0.000 0.497 (multiplicity 1)



An optimized crystal structure of Tl2HgF5. Source: Alexandria, functional PBE.

Values from the calculation:
E_tot, eV/atom: -3.405
ΔE_f (raw), eV per atom: -1.606

a = 4.490 Å, b = 6.340 Å, c = 6.731 Å
α = 94.21°, β = 108.80°, γ = 91.66°
Space group P1 (No. 1)
Unique sites:
Tl: 0.000 0.000 0.000 (multiplicity 1)
Tl: 0.301 0.507 0.619 (multiplicity 1)
Hg: 0.557 0.518 0.195 (multiplicity 1)
F: 0.070 0.655 0.254 (multiplicity 1)
F: 0.365 0.258 0.341 (multiplicity 1)
F: 0.428 0.278 0.885 (multiplicity 1)
F: 0.447 0.749 0.939 (multiplicity 1)
F: 0.792 0.595 0.596 (multiplicity 1)



An optimized crystal structure of TlHgF2. Source: Alexandria, functional PBE.

Values from the calculation:
Offset from the most stable computed form, meV/atom: 276
E_tot, eV/atom: -2.744
ΔE_f (raw), eV per atom: -1.142

a = 6.646 Å, b = 6.646 Å, c = 6.646 Å
α = 90.00°, β = 90.00°, γ = 90.00°
Space group Fm-3m (No. 225)
Unique sites:
Tl: 0.000 0.000 0.000 (multiplicity 4)
Hg: 0.000 0.000 0.500 (multiplicity 4)
F: 0.250 0.250 0.250 (multiplicity 8)



An optimized crystal structure of TlHg2F2. Source: Alexandria, functional PBE.

Values from the calculation:
E_tot, eV/atom: -2.288
ΔE_f (raw), eV per atom: -0.946

a = 7.994 Å, b = 7.994 Å, c = 3.658 Å
α = 90.00°, β = 90.00°, γ = 90.00°
Space group P4/mbm (No. 127)
Unique sites:
Tl: 0.000 0.000 0.000 (multiplicity 2)
Hg: 0.120 0.380 0.500 (multiplicity 4)
F: 0.235 0.735 0.000 (multiplicity 4)